[1]
{
  "formula": "In2SeS6",
  "functional": "GGA-PBE",
  "state": "relaxed",
  "magnetic_moment_mub_per_fu": 0.000,
  "crystal_system": "triclinic",
  "sg": "P-1, No. 2",
  "dft_energy_ev_per_atom": -3.866,
  "lattice": [[-1.460, -0.557, -3.875], [1.750, -8.242, -3.443], [-5.394, 6.860, 13.583]],
  "species": ["In", "In", "Se", "S", "S", "S", "S", "S", "S"],
  "frac_coords": [[0.580, 0.173, 0.756], [0.420, 0.827, 0.244], [0.500, 0.500, 0.000], [0.091, 0.922, 0.792], [0.909, 0.078, 0.208], [0.658, 0.863, 0.465], [0.362, 0.381, 0.371], [0.342, 0.137, 0.535], [0.638, 0.619, 0.629]]
}



[2]
{
  "formula": "ThSc2Ga2",
  "functional": "GGA-PBE",
  "state": "relaxed",
  "magnetic_moment_mub_per_fu": 0.456,
  "crystal_system": "monoclinic",
  "sg": "P2_1/m, No. 11",
  "formation_enthalpy_0k_ev_per_fu": -1.80,
  "lattice": [[-2.922, 2.439, 0.743], [-3.337, -3.473, -1.722], [-0.145, -3.658, 11.437]],
  "species": ["Th", "Th", "Sc", "Sc", "Sc", "Sc", "Ga", "Ga", "Ga", "Ga"],
  "frac_coords": [[0.250, 0.684, 0.239], [0.750, 0.316, 0.761], [0.250, 0.847, 0.895], [0.750, 0.153, 0.105], [0.250, 0.255, 0.519], [0.750, 0.745, 0.481], [0.250, 0.793, 0.662], [0.750, 0.207, 0.338], [0.250, 0.353, 0.969], [0.750, 0.647, 0.031]]
}



[3]
{
  "formula": "MnSnSN2",
  "functional": "GGA-PBE",
  "state": "relaxed",
  "magnetic_moment_mub_per_fu": 6.573,
  "crystal_system": "tetragonal",
  "sg": "P4/mmm, No. 123",
  "polymorph_energy_ev_per_atom": 0.699,
  "lattice": [[-0.306, -3.347, -2.211], [-1.544, -1.949, 3.163], [-5.045, 1.484, -1.548]],
  "species": ["S", "Mn", "Sn", "N", "N"],
  "frac_coords": [[0.000, 0.000, 0.500], [0.500, 0.500, 0.500], [0.000, 0.000, 0.000], [0.000, 0.500, 0.000], [0.500, 0.000, 0.000]]
}



[4]
{
  "formula": "MnCoW4",
  "functional": "GGA-PBE",
  "state": "relaxed",
  "magnetic_moment_mub_per_fu": 4.499,
  "crystal_system": "cubic",
  "sg": "F-43m, No. 216",
  "formation_enthalpy_0k_ev_per_fu": 4.36,
  "lattice": [[0.000, 3.680, 3.680], [3.680, 0.000, 3.680], [3.680, 3.680, 0.000]],
  "species": ["Mn", "Co", "W", "W", "W", "W"],
  "frac_coords": [[0.000, 0.000, 0.000], [0.750, 0.750, 0.750], [0.875, 0.375, 0.375], [0.375, 0.375, 0.875], [0.375, 0.875, 0.375], [0.375, 0.375, 0.375]]
}



[5]
{
  "formula": "ZrAg4W",
  "functional": "GGA-PBE",
  "state": "relaxed",
  "magnetic_moment_mub_per_fu": 3.120,
  "crystal_system": "cubic",
  "sg": "F-43m, No. 216",
  "formation_enthalpy_0k_ev_per_fu": 3.54,
  "lattice": [[3.990, -3.533, -0.891], [3.578, -1.076, 3.904], [-0.051, -4.811, 2.460]],
  "species": ["Zr", "Ag", "Ag", "Ag", "Ag", "W"],
  "frac_coords": [[0.000, 0.000, 0.000], [0.875, 0.375, 0.375], [0.375, 0.375, 0.875], [0.375, 0.875, 0.375], [0.375, 0.375, 0.375], [0.750, 0.750, 0.750]]
}



[6]
{
  "formula": "CaDyHg4",
  "functional": "GGA-PBE",
  "state": "relaxed",
  "magnetic_moment_mub_per_fu": 0.000,
  "crystal_system": "orthorhombic",
  "sg": "Cmmm, No. 65",
  "formation_enthalpy_0k_ev_per_fu": -2.50,
  "polymorph_energy_ev_per_atom": 0.000,
  "lattice": [[-2.216, 2.210, -3.839], [-2.715, -2.124, 3.556], [-5.029, 6.228, 3.312]],
  "species": ["Ca", "Dy", "Hg", "Hg", "Hg", "Hg"],
  "frac_coords": [[0.001, 0.997, 0.498], [0.501, 0.497, 0.998], [0.602, 0.931, 0.231], [0.401, 0.064, 0.765], [0.068, 0.397, 0.765], [0.935, 0.598, 0.231]]
}